DFT (PBE) results for a relaxed MgTaPt crystal.

The total magnetization is 0.00 μB per atom. For the energy, the calculation gives -20.321 eV per cell.

The structure belongs to space group P3m1 (No. 156); the cell edges are 4.5664, 4.5664 and 2.8256 Å and the angles 90.00°, 90.00° and 120.00°. Symmetry generates all atoms from Mg at (0.0000, 0.0000, 0.0000), Ta at (0.3333, 0.6667, 0.5607) and Pt at (0.6667, 0.3333, 0.2897).